# Tl5VO4F2 PBE+U relaxed
data_Tl5VO4F2
_chemical_formula_sum 'Tl10 V2 O8 F4'
_cell_length_a 7.8138
_cell_length_b 9.9473
_cell_length_c 6.7281
_cell_angle_alpha 90.00
_cell_angle_beta 90.00
_cell_angle_gamma 90.00
_space_group_name_H-M_alt 'A m m 2'
_space_group_IT_number 38
_space_group_name_Hall 'A 2 -2'
loop_
_atom_site_label
_atom_site_type_symbol
_atom_site_fract_x
_atom_site_fract_y
_atom_site_fract_z
Tl1 Tl 0.0000 0.0000 0.0000
Tl2 Tl 0.2638 0.1783 0.4750
V1 V 0.5000 0.0000 0.0109
O1 O 0.3179 0.0000 0.1619
O2 O 0.5000 0.1462 0.8626
F1 F 0.0000 0.2123 0.2372
# Crystal system: orthorhombic
# Energy, eV/cell: -120.06
# Magnetic moment, μB/f.u.: 0.00